Record 1
Pr4CdSn: relaxed, PBE.

## Properties
**Volume**: 211.4 Å³/f.u.
**Calculated total energy**: -50.275 eV/cell

Cell lengths 5.708, 6.686, 11.440 Å; angles 90.00, 104.45, 90.00 degrees
Fractional positions:
Pr: 0.127 0.822 0.254
Pr: 0.873 0.322 0.746
Cd: 0.577 0.823 0.154
Sn: 0.154 0.322 0.309
Pr: 0.289 0.579 0.579
Pr: 0.436 0.822 0.871
Sn: 0.846 0.822 0.691
Pr: 0.711 0.079 0.421
Pr: 0.564 0.322 0.129
Pr: 0.289 0.065 0.579
Pr: 0.711 0.565 0.421
Cd: 0.423 0.323 0.846

***

Record 2
Pr3CdSn3: relaxed, PBE.

## Properties
**Volume**: 248.2 Å³/f.u.
**Calculated total energy**: -60.531 eV/cell

Cell lengths 6.398, 9.465, 9.465 Å; angles 120.00, 90.00, 90.00 degrees
Fractional positions:
Sn: 0.250 0.955 0.302
Pr: 0.250 0.316 0.367
Pr: 0.750 0.684 0.633
Sn: 0.250 0.347 0.045
Pr: 0.750 0.367 0.052
Sn: 0.750 0.045 0.698
Pr: 0.250 0.052 0.684
Sn: 0.750 0.302 0.347
Pr: 0.250 0.633 0.948
Cd: 0.250 0.667 0.333
Pr: 0.750 0.948 0.316
Cd: 0.750 0.333 0.667
Sn: 0.750 0.653 0.955
Sn: 0.250 0.698 0.653

***

Record 3
Pr2Cd3Sn2: relaxed, PBE.

## Properties
**Volume**: 203.5 Å³/f.u.
**Calculated total energy**: -22.660 eV/cell

Cell lengths 4.388, 4.307, 10.982 Å; angles 101.31, 90.00, 90.00 degrees
Fractional positions:
Cd: 0.500 0.434 0.868
Cd: 0.000 0.000 0.000
Pr: 0.000 0.163 0.326
Sn: 0.500 0.705 0.409
Cd: 0.500 0.566 0.132
Pr: 0.000 0.837 0.674
Sn: 0.500 0.295 0.591

***

Record 4
Pr5CdSn2: relaxed, PBE.

## Properties
**Volume**: 257.6 Å³/f.u.
**Calculated total energy**: -71.552 eV/cell

Cell lengths 5.642, 5.866, 17.756 Å; angles 90.00, 90.00, 118.75 degrees
Fractional positions:
Pr: 0.412 0.824 0.416
Pr: 0.412 0.824 0.084
Sn: 0.756 0.512 0.429
Cd: 0.495 0.989 0.250
Pr: 0.198 0.396 0.750
Pr: 0.095 0.191 0.105
Pr: 0.095 0.191 0.395
Sn: 0.244 0.488 0.571
Sn: 0.244 0.488 0.929
Pr: 0.802 0.604 0.250
Pr: 0.588 0.176 0.916
Pr: 0.588 0.176 0.584
Sn: 0.756 0.512 0.071
Cd: 0.505 0.011 0.750
Pr: 0.905 0.809 0.895
Pr: 0.905 0.809 0.605

***

Record 5
Pr2CdSn: relaxed, PBE.

## Properties
**Volume**: 123.9 Å³/f.u.
**Calculated total energy**: -33.028 eV/cell

Cell lengths 4.628, 6.453, 8.847 Å; angles 110.30, 90.00, 90.00 degrees
Fractional positions:
Pr: 0.750 0.214 0.930
Pr: 0.750 0.208 0.425
Pr: 0.250 0.786 0.070
Cd: 0.750 0.657 0.789
Pr: 0.250 0.792 0.575
Cd: 0.250 0.343 0.211
Sn: 0.750 0.662 0.291
Sn: 0.250 0.338 0.709

***

Record 6
PrCd2Sn: relaxed, PBE.

## Properties
**Volume**: 115.7 Å³/f.u.
**Calculated total energy**: -9.971 eV/cell

Cell lengths 3.387, 3.387, 11.815 Å; angles 81.76, 81.76, 60.00 degrees
Fractional positions:
Cd: 0.908 0.908 0.276
Pr: 0.000 0.000 0.000
Cd: 0.092 0.092 0.724
Sn: 0.500 0.500 0.500

***

Record 7
Pr2CdSn: relaxed, PBE.

## Properties
**Volume**: 129.6 Å³/f.u.
**Calculated total energy**: -14.550 eV/cell

Cell lengths 3.571, 3.571, 11.912 Å; angles 81.38, 81.38, 60.00 degrees
Fractional positions:
Pr: 0.092 0.092 0.724
Sn: 0.000 0.000 0.000
Cd: 0.500 0.500 0.500
Pr: 0.908 0.908 0.276

***

Record 8
Pr7Cd2Sn2: relaxed, PBE.

## Properties
**Volume**: 377.2 Å³/f.u.
**Calculated total energy**: -44.430 eV/cell

Cell lengths 7.051, 8.078, 7.051 Å; angles 90.00, 110.11, 90.00 degrees
Fractional positions:
Cd: 0.283 0.000 0.717
Pr: 0.000 0.000 0.000
Pr: 0.500 0.295 0.000
Pr: 0.000 0.705 0.500
Cd: 0.717 0.000 0.283
Pr: 0.500 0.254 0.500
Sn: 0.178 0.500 0.178
Pr: 0.000 0.295 0.500
Pr: 0.500 0.705 0.000
Sn: 0.822 0.500 0.822
Pr: 0.500 0.746 0.500

***

Record 9
PrCd2Sn: relaxed, PBE.

## Properties
**Volume**: 105.9 Å³/f.u.
**Calculated total energy**: -11.547 eV/cell

Cell lengths 5.311, 5.311, 5.311 Å; angles 60.00, 60.00, 60.00 degrees
Fractional positions:
Sn: 0.500 0.500 0.500
Cd: 0.750 0.750 0.750
Cd: 0.250 0.250 0.250
Pr: 0.000 0.000 0.000

***

Record 10
Pr2CdSn: relaxed, PBE.

## Properties
**Volume**: 117.2 Å³/f.u.
**Calculated total energy**: -16.636 eV/cell

Cell lengths 4.228, 5.264, 5.264 Å; angles 90.00, 90.00, 90.00 degrees
Fractional positions:
Pr: 0.000 0.500 0.000
Pr: 0.000 0.000 0.500
Sn: 0.500 0.500 0.500
Cd: 0.500 0.000 0.000

***

Record 11
Pr2CdSn: relaxed, PBE.

## Properties
**Volume**: 116.7 Å³/f.u.
**Calculated total energy**: -16.635 eV/cell

Cell lengths 5.485, 5.485, 5.485 Å; angles 60.00, 60.00, 60.00 degrees
Fractional positions:
Cd: 0.500 0.500 0.500
Pr: 0.750 0.750 0.750
Sn: 0.000 0.000 0.000
Pr: 0.250 0.250 0.250

***

Record 12
PrCd3Sn3: relaxed, PBE.

## Properties
**Volume**: 238.3 Å³/f.u.
**Calculated total energy**: -34.655 eV/cell

Cell lengths 7.811, 7.811, 7.811 Å; angles 90.00, 90.00, 90.00 degrees
Fractional positions:
Sn: 0.250 0.000 0.500
Sn: 0.500 0.750 0.000
Cd: 0.500 0.000 0.750
Cd: 0.750 0.500 0.000
Cd: 0.250 0.500 0.000
Sn: 0.000 0.500 0.250
Pr: 0.500 0.500 0.500
Pr: 0.000 0.000 0.000
Sn: 0.500 0.250 0.000
Sn: 0.750 0.000 0.500
Sn: 0.000 0.500 0.750
Cd: 0.000 0.250 0.500
Cd: 0.000 0.750 0.500
Cd: 0.500 0.000 0.250

***

Q: volume of number 5 (Pr2CdSn)?
A: 123.9 Å³/f.u.

***

Q: Among the records above, which one has the highest calculated total energy?
A: number 6